[1]
This record from the Alexandria database describes a relaxed Sn2Pd7Se2 crystal. The functional is PBE-GGA.

Lattice parameters (Å, degrees): 6.804 5.502 5.502 89.96 91.72 91.72
Sites, in units of the cell vectors:
Se1 0.576 0.312 0.312
Pd1 0.290 0.469 0.058
Pd2 0.710 0.531 0.942
Pd3 0.500 0.000 0.000
Pd4 0.041 0.719 0.719
Pd5 0.290 0.058 0.469
Sn1 0.000 0.781 0.219
Pd6 0.710 0.942 0.531
Se2 0.424 0.688 0.688
Pd7 0.959 0.281 0.281
Sn2 0.000 0.219 0.781

Calculated values
electronic total energy	-4.9795	eV per atom
space-group type	No. 12
size of the total moment	0.00	μB/cell
E_form (uncorrected)	-3.450	eV per formula unit

=====

[2]
This record from the Alexandria database describes a relaxed RbIn2SF crystal. The functional is PBE-GGA.

Lattice parameters (Å, degrees): 5.197 7.924 5.197 90.00 90.00 90.00
Sites, in units of the cell vectors:
In1 0.500 0.000 0.000
Rb1 0.500 0.500 0.500
S1 0.000 0.000 0.000
F1 0.000 0.500 0.000
In2 0.000 0.000 0.500

Calculated values
electronic total energy	-3.0305	eV per atom
space-group type	No. 123
size of the total moment	0.00	μB/cell
E_form (uncorrected)	-2.709	eV per formula unit

=====

Please write out number 2 again, unchanged.
This record from the Alexandria database describes a relaxed RbIn2SF crystal. The functional is PBE-GGA.

Lattice parameters (Å, degrees): 5.197 7.924 5.197 90.00 90.00 90.00
Sites, in units of the cell vectors:
In1 0.500 0.000 0.000
Rb1 0.500 0.500 0.500
S1 0.000 0.000 0.000
F1 0.000 0.500 0.000
In2 0.000 0.000 0.500

Calculated values
electronic total energy	-3.0305	eV per atom
space-group type	No. 123
size of the total moment	0.00	μB/cell
E_form (uncorrected)	-2.709	eV per formula unit